[1]
Density functional theory data (GGA-PBE) for a relaxed structure of LiNb2Ge2.

Cell lengths 3.944, 3.944, 12.283 Å; angles 90.00, 90.00, 90.00 degrees
Fractional positions:
Li 0.000 0.000 0.000
Li 0.500 0.500 0.500
Nb 0.000 0.500 0.250
Nb 0.000 0.500 0.750
Nb 0.500 0.000 0.250
Nb 0.500 0.000 0.750
Ge 0.000 0.000 0.403
Ge 0.000 0.000 0.597
Ge 0.500 0.500 0.097
Ge 0.500 0.500 0.903

Properties
VASP energy, eV/cell: -62.85

[2]
Density functional theory data (GGA-PBE) for a relaxed structure of DyRePbO6.

Cell lengths 5.600, 5.600, 5.179 Å; angles 90.00, 90.00, 120.00 degrees
Fractional positions:
Dy 0.000 0.000 0.000
Re 0.333 0.667 0.000
Pb 0.667 0.333 0.500
O 0.062 0.378 0.209
O 0.062 0.683 0.791
O 0.317 0.378 0.791
O 0.317 0.938 0.209
O 0.622 0.683 0.209
O 0.622 0.938 0.791

Properties
E_form (uncorrected), kJ per mole of atoms: -195.50